Entry 1:
# Er6Al43Cr4

Er6Al43Cr4 at its PBEsol-relaxed geometry (meta-GGA SCAN, Alexandria via LeMat-Bulk).

Summary:
* raw total energy: -13.67 eV/atom
* symmetry: P6_3/mcm (193)

Unit cell a=10.785 b=10.785 c=17.444 alpha=90.00 beta=90.00 gamma=120.00
Atoms (fractional coordinates):
Er 0.000 0.469 0.095
Er 0.000 0.469 0.405
Er 0.000 0.531 0.595
Er 0.000 0.531 0.905
Er 0.469 0.000 0.095
Er 0.469 0.000 0.405
Er 0.469 0.469 0.595
Er 0.469 0.469 0.905
Er 0.531 0.000 0.595
Er 0.531 0.000 0.905
Er 0.531 0.531 0.095
Er 0.531 0.531 0.405
Al 0.000 0.146 0.750
Al 0.000 0.156 0.116
Al 0.000 0.156 0.384
Al 0.000 0.251 0.530
Al 0.000 0.251 0.970
Al 0.000 0.749 0.030
Al 0.000 0.749 0.470
Al 0.000 0.844 0.616
Al 0.000 0.844 0.884
Al 0.000 0.854 0.250
Al 0.144 0.546 0.250
Al 0.144 0.598 0.750
Al 0.146 0.000 0.750
Al 0.146 0.146 0.250
Al 0.156 0.000 0.116
Al 0.156 0.000 0.384
Al 0.156 0.156 0.616
Al 0.156 0.156 0.884
Al 0.158 0.391 0.665
Al 0.158 0.391 0.835
Al 0.158 0.767 0.165
Al 0.158 0.767 0.335
Al 0.233 0.391 0.165
Al 0.233 0.391 0.335
Al 0.233 0.842 0.665
Al 0.233 0.842 0.835
Al 0.247 0.494 0.000
Al 0.247 0.494 0.500
Al 0.247 0.753 0.000
Al 0.247 0.753 0.500
Al 0.251 0.000 0.530
Al 0.251 0.000 0.970
Al 0.251 0.251 0.030
Al 0.251 0.251 0.470
Al 0.333 0.667 0.127
Al 0.333 0.667 0.373
Al 0.333 0.667 0.627
Al 0.333 0.667 0.873
Al 0.391 0.158 0.665
Al 0.391 0.158 0.835
Al 0.391 0.233 0.165
Al 0.391 0.233 0.335
Al 0.402 0.546 0.750
Al 0.402 0.856 0.250
Al 0.454 0.598 0.250
Al 0.454 0.856 0.750
Al 0.494 0.247 0.000
Al 0.494 0.247 0.500
Al 0.506 0.753 0.000
Al 0.506 0.753 0.500
Al 0.546 0.144 0.250
Al 0.546 0.402 0.750
Al 0.598 0.144 0.750
Al 0.598 0.454 0.250
Al 0.609 0.767 0.665
Al 0.609 0.767 0.835
Al 0.609 0.842 0.165
Al 0.609 0.842 0.335
Al 0.667 0.333 0.127
Al 0.667 0.333 0.373
Al 0.667 0.333 0.627
Al 0.667 0.333 0.873
Al 0.749 0.000 0.030
Al 0.749 0.000 0.470
Al 0.749 0.749 0.530
Al 0.749 0.749 0.970
Al 0.753 0.247 0.000
Al 0.753 0.247 0.500
Al 0.753 0.506 0.000
Al 0.753 0.506 0.500
Al 0.767 0.158 0.165
Al 0.767 0.158 0.335
Al 0.767 0.609 0.665
Al 0.767 0.609 0.835
Al 0.842 0.233 0.665
Al 0.842 0.233 0.835
Al 0.842 0.609 0.165
Al 0.842 0.609 0.335
Al 0.844 0.000 0.616
Al 0.844 0.000 0.884
Al 0.844 0.844 0.116
Al 0.844 0.844 0.384
Al 0.854 0.000 0.250
Al 0.854 0.854 0.750
Al 0.856 0.402 0.250
Al 0.856 0.454 0.750
Cr 0.000 0.000 0.000
Cr 0.000 0.000 0.500
Cr 0.000 0.268 0.250
Cr 0.000 0.732 0.750
Cr 0.268 0.000 0.250
Cr 0.268 0.268 0.750
Cr 0.732 0.000 0.750
Cr 0.732 0.732 0.250

=====

Entry 2:
# AlCrFe2

AlCrFe2 at its PBEsol-relaxed geometry (meta-GGA SCAN, Alexandria via LeMat-Bulk).

Summary:
* raw total energy: -15.67 eV/atom
* symmetry: Immm (71)

Unit cell a=4.551 b=4.551 c=4.551 alpha=141.66 beta=128.00 gamma=66.42
Atoms (fractional coordinates):
Al 0.000 0.000 0.000
Cr 0.500 0.500 0.000
Fe 0.258 0.758 0.500
Fe 0.742 0.242 0.500

=====

Entry 3:
# AlCrFe2

AlCrFe2 at its PBEsol-relaxed geometry (meta-GGA SCAN, Alexandria via LeMat-Bulk).

Summary:
* raw total energy: -15.69 eV/atom
* symmetry: P4/mmm (123)

Unit cell a=3.952 b=3.952 c=2.784 alpha=90.00 beta=90.00 gamma=90.00
Atoms (fractional coordinates):
Al 0.000 0.000 0.000
Cr 0.500 0.500 0.000
Fe 0.000 0.500 0.500
Fe 0.500 0.000 0.500

=====

Entry 4:
# Al2CrFe

Al2CrFe at its PBEsol-relaxed geometry (meta-GGA SCAN, Alexandria via LeMat-Bulk).

Summary:
* raw total energy: -13.16 eV/atom
* symmetry: P4/mmm (123)

Unit cell a=2.586 b=2.586 c=7.454 alpha=90.00 beta=90.00 gamma=90.00
Atoms (fractional coordinates):
Al 0.000 0.000 0.240
Al 0.000 0.000 0.760
Cr 0.500 0.500 0.500
Fe 0.500 0.500 0.000

=====

Entry 5:
# AlCrFe2

AlCrFe2 at its PBEsol-relaxed geometry (meta-GGA SCAN, Alexandria via LeMat-Bulk).

Summary:
* raw total energy: -15.73 eV/atom
* symmetry: Fm-3m (225)

Unit cell a=3.951 b=3.951 c=3.951 alpha=60.00 beta=60.00 gamma=60.00
Atoms (fractional coordinates):
Al 0.000 0.000 0.000
Cr 0.500 0.500 0.500
Fe 0.250 0.250 0.250
Fe 0.750 0.750 0.750

=====

Entry 6:
# AlCrFe2

AlCrFe2 at its PBEsol-relaxed geometry (meta-GGA SCAN, Alexandria via LeMat-Bulk).

Summary:
* raw total energy: -15.66 eV/atom
* symmetry: Imm2 (44)

Unit cell a=4.669 b=4.669 c=4.669 alpha=144.62 beta=130.69 gamma=62.14
Atoms (fractional coordinates):
Al 0.000 0.000 0.000
Cr 0.260 0.760 0.500
Fe 0.495 0.495 0.000
Fe 0.748 0.248 0.500